The following is a DFT calculation (GGA-PBE) of an optimized crystal structure of Ho2Sc3Al3.

Output
D(E_F) ... 9.00 states/eV/f.u.
V ... 22.3 A^3/atom
Uncorrected energy ... -41.8 eV for the cell shown
SG ... Pmmm (47)

a = 4.5723 Å, b = 4.5572 Å, c = 8.5701 Å
α = 90.00°, β = 90.00°, γ = 90.00°
Closest atoms and distances in Å follow each position.
Fractional positions:
Al  0.0000  0.5000  0.0000  4 Ho 3.18, 8 Sc 3.23-3.28
Al  0.5000  0.0000  0.5000  4 Sc 2.99, 4 Ho 3.08, 4 Al 3.23
Al  0.0000  0.5000  0.5000  4 Sc 2.99, 4 Ho 3.08, 4 Al 3.23
Sc  0.5000  0.5000  0.2748  6 Al 2.99-3.28, 4 Ho 3.23, 2 Sc 3.28
Sc  0.5000  0.5000  0.7252  6 Al 2.99-3.28, 4 Ho 3.23, 2 Sc 3.28
Sc  0.5000  0.0000  0.0000  4 Ho 3.19, 4 Al 3.23, 4 Sc 3.28
Ho  0.0000  0.0000  0.2589  6 Al 3.08-3.18, 6 Sc 3.19-3.23
Ho  0.0000  0.0000  0.7411  6 Al 3.08-3.18, 6 Sc 3.19-3.23